Computed, not measured: an optimized crystal structure of DyHo4In3 at the PBE level of DFT.

- crystal system = trigonal
- M_tot (μB/cell) = 0.9
- energy of formation from the pure elements (eV per atom) = -0.31
- calculated density (g cm⁻³) = 8.68
- uncorrected energy (eV per atom) = -4.203

Cell: 9.586 9.586 9.586 Å, 32.27 32.27 32.27°
Element x y z (fractional)
Dy (0.000, 0.000, 0.000)
Ho (0.129, 0.129, 0.129)
Ho (0.387, 0.387, 0.387)
Ho (0.613, 0.613, 0.613)
Ho (0.871, 0.871, 0.871)
In (0.264, 0.264, 0.264)
In (0.500, 0.500, 0.500)
In (0.736, 0.736, 0.736)

=====

Computed, not measured: an optimized crystal structure of DyHo5In6 at the PBE level of DFT.

- crystal system = orthorhombic
- M_tot (μB/cell) = 0.0
- energy of formation from the pure elements (eV per atom) = -0.46
- calculated density (g cm⁻³) = 8.82
- uncorrected energy (eV per atom) = -4.117

Cell: 8.392 8.392 7.467 Å, 90.00 90.00 143.14°
Element x y z (fractional)
Dy (0.000, 0.000, 0.000)
Ho (0.000, 0.000, 0.500)
Ho (0.333, 0.667, 0.000)
Ho (0.334, 0.666, 0.500)
Ho (0.666, 0.334, 0.500)
Ho (0.667, 0.333, 0.000)
In (0.167, 0.833, 0.251)
In (0.167, 0.833, 0.749)
In (0.500, 0.500, 0.250)
In (0.500, 0.500, 0.750)
In (0.833, 0.167, 0.251)
In (0.833, 0.167, 0.749)

=====

Computed, not measured: an optimized crystal structure of Dy8Ho2In3 at the PBE level of DFT.

- crystal system = trigonal
- M_tot (μB/cell) = 2.2
- energy of formation from the pure elements (eV per atom) = 0.13
- calculated density (g cm⁻³) = 7.99
- uncorrected energy (eV per atom) = -4.040

Cell: 12.174 12.174 12.174 Å, 30.43 30.43 30.43°
Element x y z (fractional)
Dy (0.219, 0.219, 0.721)
Dy (0.219, 0.721, 0.219)
Dy (0.225, 0.225, 0.225)
Dy (0.279, 0.781, 0.781)
Dy (0.721, 0.219, 0.219)
Dy (0.775, 0.775, 0.775)
Dy (0.781, 0.279, 0.781)
Dy (0.781, 0.781, 0.279)
Ho (0.136, 0.136, 0.136)
Ho (0.864, 0.864, 0.864)
In (0.311, 0.311, 0.311)
In (0.500, 0.500, 0.500)
In (0.689, 0.689, 0.689)

=====

Computed, not measured: an optimized crystal structure of Dy4HoIn4 at the PBE level of DFT.

- crystal system = tetragonal
- M_tot (μB/cell) = 0.0
- energy of formation from the pure elements (eV per atom) = -0.12
- calculated density (g cm⁻³) = 7.77
- uncorrected energy (eV per atom) = -3.886

Cell: 7.155 7.155 10.633 Å, 90.00 90.00 90.00°
Element x y z (fractional)
Dy (0.023, 0.250, 0.169)
Dy (0.250, 0.023, 0.669)
Dy (0.250, 0.477, 0.669)
Dy (0.477, 0.250, 0.169)
Dy (0.523, 0.750, 0.831)
Dy (0.750, 0.523, 0.331)
Dy (0.750, 0.977, 0.331)
Dy (0.977, 0.750, 0.831)
Ho (0.250, 0.750, 0.250)
Ho (0.750, 0.250, 0.750)
In (0.026, 0.250, 0.469)
In (0.250, 0.026, 0.969)
In (0.250, 0.474, 0.969)
In (0.474, 0.250, 0.469)
In (0.526, 0.750, 0.531)
In (0.750, 0.526, 0.031)
In (0.750, 0.974, 0.031)
In (0.974, 0.750, 0.531)

=====

Computed, not measured: an optimized crystal structure of DyHo4In5 at the PBE level of DFT.

- crystal system = tetragonal
- M_tot (μB/cell) = 0.0
- energy of formation from the pure elements (eV per atom) = -0.46
- calculated density (g cm⁻³) = 8.80
- uncorrected energy (eV per atom) = -4.116

Cell: 3.727 3.727 18.978 Å, 90.00 90.00 90.00°
Element x y z (fractional)
Dy (0.000, 0.000, 0.000)
Ho (0.000, 0.000, 0.201)
Ho (0.000, 0.000, 0.400)
Ho (0.000, 0.000, 0.600)
Ho (0.000, 0.000, 0.799)
In (0.500, 0.500, 0.101)
In (0.500, 0.500, 0.300)
In (0.500, 0.500, 0.500)
In (0.500, 0.500, 0.700)
In (0.500, 0.500, 0.899)

=====

Computed, not measured: an optimized crystal structure of Dy7Ho3In2 at the PBE level of DFT.

- crystal system = monoclinic
- M_tot (μB/cell) = 0.0
- energy of formation from the pure elements (eV per atom) = -0.05
- calculated density (g cm⁻³) = 8.45
- uncorrected energy (eV per atom) = -4.332

Cell: 5.569 3.582 18.380 Å, 90.00 93.86 90.00°
Element x y z (fractional)
Dy (0.000, 0.000, 0.000)
Dy (0.168, 0.500, 0.174)
Dy (0.259, 0.500, 0.541)
Dy (0.335, 0.000, 0.853)
Dy (0.665, 0.000, 0.147)
Dy (0.741, 0.500, 0.459)
Dy (0.832, 0.500, 0.826)
Ho (0.221, 0.000, 0.366)
Ho (0.500, 0.500, 0.000)
Ho (0.779, 0.000, 0.634)
In (0.299, 0.500, 0.708)
In (0.701, 0.500, 0.292)